7
Lattice="-3.134 -3.072 -0.326 -0.353 -3.119 3.085 -7.218 3.582 5.934" Properties=species:S:1:pos:R:3 comment="PmTm2Al2Ga2 | Alexandria | PBE | optimized geometry" ef_ev_per_atom=-0.381 energy_ev_per_cell=-29.90 pbc="T T T"
Pm 0.000 0.000 0.000
Tm -4.865 1.388 3.986
Tm -5.840 -3.997 4.707
Al -3.511 -3.021 2.822
Al -7.194 0.412 5.872
Ga -8.098 -1.893 6.577
Ga -2.608 -0.716 2.116